Entry 1:
Density functional theory data (PBE) for a geometry-optimized Ca4HgPb2 structure.

a b c (Å): 5.443 5.443 9.410
angles (deg): 73.19 73.19 60.00
Element x y z (fractional)
Pb: 0.752 0.752 0.743
Pb: 0.248 0.248 0.257
Ca: 0.876 0.876 0.373
Ca: 0.124 0.124 0.627
Ca: 0.625 0.625 0.124
Ca: 0.375 0.375 0.876
Hg: 0.000 0.000 0.000

spin magnetization: 0.00 μB per formula unit
offset from the most stable computed form: 0.000 eV per atom
formation enthalpy at 0 K: -0.561 eV/atom

***

Entry 2:
Density functional theory data (PBE) for a geometry-optimized LiRuRh structure.

a b c (Å): 10.893 4.658 4.658
angles (deg): 130.33 143.81 36.19
Element x y z (fractional)
Ru: 0.272 0.532 0.468
Ru: 0.000 0.436 0.564
Rh: 0.176 0.940 0.060
Rh: 0.509 0.965 0.035
Li: 0.791 0.987 0.013
Li: 0.666 0.469 0.531

spin magnetization: 0.00 μB per formula unit
offset from the most stable computed form: 0.020 eV per atom
formation enthalpy at 0 K: 0.048 eV/atom

***

Entry 3:
Density functional theory data (PBE) for a geometry-optimized YW structure.

a b c (Å): 7.404 4.938 10.083
angles (deg): 90.00 90.00 90.00
Element x y z (fractional)
Y: 0.170 0.250 0.016
Y: 0.670 0.250 0.484
Y: 0.830 0.750 0.984
Y: 0.330 0.750 0.516
Y: 0.886 0.250 0.760
Y: 0.386 0.250 0.740
Y: 0.114 0.750 0.240
Y: 0.614 0.750 0.260
W: 0.041 0.250 0.421
W: 0.541 0.250 0.079
W: 0.959 0.750 0.579
W: 0.459 0.750 0.921
W: 0.847 0.250 0.193
W: 0.347 0.250 0.307
W: 0.153 0.750 0.807
W: 0.653 0.750 0.693

spin magnetization: 0.00 μB per formula unit
offset from the most stable computed form: 0.234 eV per atom
formation enthalpy at 0 K: 0.482 eV/atom

***

Entry 4:
Density functional theory data (PBE) for a geometry-optimized DyErMgGa structure.

a b c (Å): 5.139 5.139 5.139
angles (deg): 60.00 60.00 60.00
Element x y z (fractional)
Mg: 0.750 0.750 0.750
Dy: 0.500 0.500 0.500
Ga: 0.250 0.250 0.250
Er: 0.000 0.000 0.000

spin magnetization: 0.00 μB per formula unit
formation enthalpy at 0 K: -0.334 eV/atom

***

- Which value of formation enthalpy at 0 K does entry 3 give?
  0.482 eV/atom

***

- What is the formation enthalpy at 0 K in the first record?
  -0.561 eV/atom

***

- formation enthalpy at 0 K of number 3 (YW)?
  0.482 eV/atom